1.
# Cs3Np2S9

Cs3Np2S9 after structural relaxation (PBE, Alexandria).

Lattice parameters (Å, degrees): 7.4440 7.4440 9.4542 90.00 90.00 120.00
Last column: nearest neighbours and their distance in Å.
Fractional positions:
Cs  0.0000  0.0000  0.0000  12 S 3.68-3.72
Cs  0.3333  0.6667  0.3543  12 S 3.76-3.98
Cs  0.6667  0.3333  0.6457  12 S 3.76-3.98
Np  0.3333  0.6667  0.8454  6 S 2.40-2.60
Np  0.6667  0.3333  0.1546  6 S 2.40-2.60
S  0.0000  0.5000  0.0000  2 Np 2.60
S  0.1811  0.3623  0.6986  1 Np 2.40
S  0.1811  0.8189  0.6986  1 Np 2.40
S  0.3623  0.1811  0.3014  1 Np 2.40
S  0.5000  0.0000  0.0000  2 Np 2.60
S  0.5000  0.5000  0.0000  2 Np 2.60
S  0.6377  0.8189  0.6986  1 Np 2.40
S  0.8189  0.1811  0.3014  1 Np 2.40
S  0.8189  0.6377  0.3014  1 Np 2.40

## Properties
SG: P-3m1, No. 164
N(E_F), states/eV/f.u.: 7.8
ΔE_f (raw), eV per atom: -0.8541

2.
# Cs5NpS5

Cs5NpS5 after structural relaxation (PBE, Alexandria).

Lattice parameters (Å, degrees): 8.4797 8.4797 9.3568 108.98 108.98 43.83
Last column: nearest neighbours and their distance in Å.
Fractional positions:
Cs  0.0000  0.0000  0.0000  4 S 3.38-3.40
Cs  0.3032  0.3032  0.2042  4 S 3.34-3.72
Cs  0.3326  0.3326  0.6704  4 S 3.30-3.52
Cs  0.6674  0.6674  0.3296  4 S 3.30-3.52
Cs  0.6968  0.6968  0.7958  4 S 3.34-3.72
Np  0.0000  0.0000  0.5000  4 S 2.58-2.60
S  0.1245  0.1245  0.3793  1 Np 2.58
S  0.1247  0.1247  0.7702  1 Np 2.60
S  0.5000  0.5000  0.5000  2 Np 3.16, 4 Cs 3.35-3.52
S  0.8753  0.8753  0.2298  1 Np 2.60
S  0.8755  0.8755  0.6207  1 Np 2.58

## Properties
SG: C2/m, No. 12
N(E_F), states/eV/f.u.: 6.6
ΔE_f (raw), eV per atom: -1.0976

3.
# CsNp4S8

CsNp4S8 after structural relaxation (PBE, Alexandria).

Lattice parameters (Å, degrees): 9.6298 9.6298 12.8896 130.03 130.03 24.41
Last column: nearest neighbours and their distance in Å.
Fractional positions:
Cs  0.0000  0.0000  0.0000  10 S 3.67-4.06, 2 Cs 4.07
Np  0.1473  0.1473  0.4706  6 S 2.67-2.72
Np  0.3429  0.3429  0.1788  6 S 2.70-2.72
Np  0.6608  0.6608  0.8248  6 S 2.70-2.72
Np  0.8566  0.8566  0.5328  6 S 2.67-2.72
S  0.0434  0.0434  0.7605  3 Np 2.70-2.72
S  0.2860  0.2860  0.9244  3 Np 2.70-2.71
S  0.3374  0.3374  0.6523  3 Np 2.69-2.72
S  0.3744  0.3744  0.4170  3 Np 2.67-2.72
S  0.6306  0.6306  0.5876  3 Np 2.67-2.72
S  0.6666  0.6666  0.3511  3 Np 2.69-2.72
S  0.7180  0.7180  0.0794  3 Np 2.70-2.71
S  0.9604  0.9604  0.2433  3 Np 2.70-2.72

## Properties
SG: Cm, No. 8
N(E_F), states/eV/f.u.: 41.5
Excess energy over the best structure of this formula in the dataset, eV per formula unit: 0.00
ΔE_f (raw), eV per atom: -1.3153

4.
# Cs3NpS6

Cs3NpS6 after structural relaxation (PBE, Alexandria).

Lattice parameters (Å, degrees): 8.2365 8.2365 8.2365 60.00 60.00 60.00
Last column: nearest neighbours and their distance in Å.
Fractional positions:
Cs  0.0000  0.0000  0.0000  6 S 3.36
Cs  0.2500  0.2500  0.2500  12 S 4.14
Cs  0.7500  0.7500  0.7500  12 S 4.14
Np  0.5000  0.5000  0.5000  6 S 2.47
S  0.2883  0.2883  0.7117  1 Np 2.47
S  0.2883  0.7117  0.2883  1 Np 2.47
S  0.2883  0.7117  0.7117  1 Np 2.47
S  0.7117  0.2883  0.2883  1 Np 2.47
S  0.7117  0.2883  0.7117  1 Np 2.47
S  0.7117  0.7117  0.2883  1 Np 2.47

## Properties
SG: Fm-3m, No. 225
N(E_F), states/eV/f.u.: 6.2
ΔE_f (raw), eV per atom: -0.8102

5.
# CsNp6S12

CsNp6S12 after structural relaxation (PBE, Alexandria).

Lattice parameters (Å, degrees): 8.0904 8.0904 8.0904 105.32 105.32 105.32
Last column: nearest neighbours and their distance in Å.
Fractional positions:
Cs  0.0000  0.0000  0.0000  18 S 3.93-4.38
Np  0.2493  0.2493  0.6535  7 S 2.65-2.85
Np  0.2493  0.6535  0.2493  7 S 2.65-2.85
Np  0.3465  0.7507  0.7507  7 S 2.65-2.85
Np  0.6535  0.2493  0.2493  7 S 2.65-2.85
Np  0.7507  0.3465  0.7507  7 S 2.65-2.85
Np  0.7507  0.7507  0.3465  7 S 2.65-2.85
S  0.1304  0.5000  0.8696  4 Np 2.77-2.85
S  0.1304  0.8696  0.5000  4 Np 2.77-2.85
S  0.1832  0.4420  0.4420  3 Np 2.65-2.73
S  0.4420  0.1832  0.4420  3 Np 2.65-2.73
S  0.4420  0.4420  0.1832  3 Np 2.65-2.73
S  0.5000  0.1304  0.8696  4 Np 2.77-2.85
S  0.5000  0.8696  0.1304  4 Np 2.77-2.85
S  0.5580  0.5580  0.8168  3 Np 2.65-2.73
S  0.5580  0.8168  0.5580  3 Np 2.65-2.73
S  0.8168  0.5580  0.5580  3 Np 2.65-2.73
S  0.8696  0.1304  0.5000  4 Np 2.77-2.85
S  0.8696  0.5000  0.1304  4 Np 2.77-2.85

## Properties
SG: R-3m, No. 166
N(E_F), states/eV/f.u.: 48.6
ΔE_f (raw), eV per atom: -1.2111

6.
# CsNpS3

CsNpS3 after structural relaxation (PBE, Alexandria).

Lattice parameters (Å, degrees): 3.9768 5.1564 7.4034 90.00 90.00 90.00
Last column: nearest neighbours and their distance in Å.
Fractional positions:
Cs  0.0000  0.0000  0.0000  10 S 3.70-3.81, 2 Cs 3.98
Np  0.0000  0.5000  0.5000  6 S 2.58-2.63
S  0.0000  0.0000  0.5000  2 Np 2.58
S  0.5000  0.5000  0.2676  2 Np 2.63
S  0.5000  0.5000  0.7324  2 Np 2.63

## Properties
SG: Pmmm, No. 47
N(E_F), states/eV/f.u.: 6.9
Excess energy over the best structure of this formula in the dataset, eV per formula unit: 0.17
ΔE_f (raw), eV per atom: -1.1900

7.
# CsNp6S8

CsNp6S8 after structural relaxation (PBE, Alexandria).

Lattice parameters (Å, degrees): 7.5925 7.5925 7.5925 95.88 95.88 95.88
Last column: nearest neighbours and their distance in Å.
Fractional positions:
Cs  0.0000  0.0000  0.0000  2 S 3.44
Np  0.2443  0.4905  0.5862  2 Np 2.43, 3 S 2.59-2.67
Np  0.4138  0.7557  0.5095  2 Np 2.43, 3 S 2.59-2.67
Np  0.4905  0.5862  0.2443  2 Np 2.43, 3 S 2.59-2.67
Np  0.5095  0.4138  0.7557  2 Np 2.43, 3 S 2.59-2.67
Np  0.5862  0.2443  0.4905  2 Np 2.43, 3 S 2.59-2.67
Np  0.7557  0.5095  0.4138  2 Np 2.43, 3 S 2.59-2.67
S  0.0543  0.7044  0.4045  3 Np 2.59-2.74
S  0.2936  0.2936  0.2936  3 Np 2.63
S  0.2956  0.5955  0.9457  3 Np 2.59-2.74
S  0.4045  0.0543  0.7044  3 Np 2.59-2.74
S  0.5955  0.9457  0.2956  3 Np 2.59-2.74
S  0.7044  0.4045  0.0543  3 Np 2.59-2.74
S  0.7064  0.7064  0.7064  3 Np 2.63
S  0.9457  0.2956  0.5955  3 Np 2.59-2.74

## Properties
SG: R-3, No. 148
N(E_F), states/eV/f.u.: 11.4
ΔE_f (raw), eV per atom: -1.0050

8.
# CsNp4S6

CsNp4S6 after structural relaxation (PBE, Alexandria).

Lattice parameters (Å, degrees): 6.9536 6.9536 20.9479 90.00 90.00 146.43
Last column: nearest neighbours and their distance in Å.
Fractional positions:
Cs  0.1595  0.8405  0.7500  6 S 3.39-3.43
Cs  0.8405  0.1595  0.2500  6 S 3.39-3.43
Np  0.0992  0.9008  0.1256  6 S 2.65-2.94
Np  0.0992  0.9008  0.3744  6 S 2.65-2.94
Np  0.3647  0.6353  0.0383  6 S 2.65-2.82
Np  0.3647  0.6353  0.4617  6 S 2.65-2.82
Np  0.6353  0.3647  0.5383  6 S 2.65-2.82
Np  0.6353  0.3647  0.9617  6 S 2.65-2.82
Np  0.9008  0.0992  0.6256  6 S 2.65-2.94
Np  0.9008  0.0992  0.8744  6 S 2.65-2.94
S  0.0000  0.0000  0.0000  6 Np 2.81-2.94
S  0.0000  0.0000  0.5000  6 Np 2.81-2.94
S  0.1354  0.8646  0.2500  2 Np 2.65
S  0.2675  0.7325  0.5810  5 Np 2.82-2.84
S  0.2675  0.7325  0.9190  5 Np 2.82-2.84
S  0.4694  0.5306  0.1457  3 Np 2.65-2.68
S  0.4694  0.5306  0.3543  3 Np 2.65-2.68
S  0.5306  0.4694  0.6457  3 Np 2.65-2.68
S  0.5306  0.4694  0.8543  3 Np 2.65-2.68
S  0.7325  0.2675  0.0810  5 Np 2.82-2.84
S  0.7325  0.2675  0.4190  5 Np 2.82-2.84
S  0.8646  0.1354  0.7500  2 Np 2.65

## Properties
SG: Cmcm, No. 63
N(E_F), states/eV/f.u.: 36.0
ΔE_f (raw), eV per atom: -1.3411

9.
# CsNpS3

CsNpS3 after structural relaxation (PBE, Alexandria).

Lattice parameters (Å, degrees): 5.2360 5.2360 5.2360 90.00 90.00 90.00
Last column: nearest neighbours and their distance in Å.
Fractional positions:
Cs  0.0000  0.0000  0.0000  12 S 3.70
Np  0.5000  0.5000  0.5000  6 S 2.62
S  0.0000  0.5000  0.5000  2 Np 2.62
S  0.5000  0.0000  0.5000  2 Np 2.62
S  0.5000  0.5000  0.0000  2 Np 2.62

## Properties
SG: Pm-3m, No. 221
N(E_F), states/eV/f.u.: 8.6
Excess energy over the best structure of this formula in the dataset, eV per formula unit: 0.00
ΔE_f (raw), eV per atom: -1.2234

10.
# Cs3Np3SbS8

Cs3Np3SbS8 after structural relaxation (PBE, Alexandria).

Lattice parameters (Å, degrees): 9.4039 9.4039 9.4039 51.81 51.81 51.81
Last column: nearest neighbours and their distance in Å.
Fractional positions:
Cs  0.0000  0.5000  0.5000  6 S 3.54-3.55
Cs  0.5000  0.0000  0.5000  6 S 3.54-3.55
Cs  0.5000  0.5000  0.0000  6 S 3.54-3.55
Np  0.0000  0.0000  0.5000  6 S 2.76-2.77
Np  0.0000  0.5000  0.0000  6 S 2.76-2.77
Np  0.5000  0.0000  0.0000  6 S 2.76-2.77
Sb  0.5000  0.5000  0.5000  6 S 2.79
S  0.2222  0.7269  0.7269  2 Np 2.76, 1 Sb 2.79
S  0.2257  0.2257  0.2257  3 Np 2.77
S  0.2731  0.2731  0.7778  2 Np 2.76, 1 Sb 2.79
S  0.2731  0.7778  0.2731  2 Np 2.76, 1 Sb 2.79
S  0.7269  0.2222  0.7269  2 Np 2.76, 1 Sb 2.79
S  0.7269  0.7269  0.2222  2 Np 2.76, 1 Sb 2.79
S  0.7743  0.7743  0.7743  3 Np 2.77
S  0.7778  0.2731  0.2731  2 Np 2.76, 1 Sb 2.79

## Properties
SG: R-3m, No. 166
N(E_F), states/eV/f.u.: 28.4
ΔE_f (raw), eV per atom: -1.1956

Q: N(E_F) of number 3 (CsNp4S8)?
A: 41.5 states/eV/f.u.

Q: Number 7 is which compound?
A: CsNp6S8